Entry 1:
# Cd2Si3

A relaxed Cd2Si3 crystal (GGA-PBE, Alexandria).

## Properties
The value obtained for the uncorrected formation energy is 0.382 eV per atom. The total energy is -3.24 eV/atom. Its energy above the most stable polymorph in this dataset is 0 meV/atom.

abc: 9.1699 9.1699 9.1699
angles: 22.92 22.92 22.92
With the nearest neighbours (Å) after each atom.
Fractional positions:
Cd1 0.4033 0.4033 0.4033  6 Si 2.82-2.95
Cd2 0.5967 0.5967 0.5967  6 Si 2.82-2.95
Si1 0.0000 0.0000 0.0000  6 Cd 2.82
Si2 0.8137 0.8137 0.8137  3 Si 2.35
Si3 0.1863 0.1863 0.1863  3 Si 2.35

Entry 2:
# Cs2NaCdBi2

A relaxed Cs2NaCdBi2 crystal (GGA-PBE, Alexandria).

## Properties
The total energy is -2.29 eV/atom. The energy relative to the elements is -0.34 eV per atom.

abc: 7.6566 7.5725 10.3851
angles: 111.38 111.63 90.00
With the nearest neighbours (Å) after each atom.
Fractional positions:
Cs1 0.4099 0.1674 0.3348  5 Bi 3.91-4.24, 2 Na 3.98, 2 Cd 4.04
Cs2 0.5901 0.8326 0.6652  5 Bi 3.91-4.24, 2 Na 3.98, 2 Cd 4.04
Cs3 0.0751 0.3326 0.6652  5 Bi 3.91-4.24, 2 Na 3.98, 2 Cd 4.04
Cs4 0.9249 0.6674 0.3348  5 Bi 3.91-4.24, 2 Na 3.98, 2 Cd 4.04
Na1 0.0000 0.7500 0.0000  4 Bi 3.29
Na2 0.0000 0.2500 0.0000  4 Bi 3.29
Cd1 0.5000 0.7500 0.0000  4 Bi 3.05
Cd2 0.5000 0.2500 0.0000  4 Bi 3.05
Bi1 0.8177 0.0940 0.1880  2 Cd 3.05, 2 Na 3.29
Bi2 0.3704 0.5940 0.1880  2 Cd 3.05, 2 Na 3.29
Bi3 0.6296 0.4060 0.8120  2 Cd 3.05, 2 Na 3.29
Bi4 0.1823 0.9060 0.8120  2 Cd 3.05, 2 Na 3.29

Entry 3:
# InAuS2

A relaxed InAuS2 crystal (GGA-PBE, Alexandria).

## Properties
The value obtained for the uncorrected formation energy is -0.166 eV per atom. The total energy is -3.73 eV/atom.

abc: 12.2059 12.2059 3.9253
angles: 90.00 90.00 162.54
With the nearest neighbours (Å) after each atom.
Fractional positions:
S1 0.2056 0.7944 0.2500  5 In 2.77
S2 0.7944 0.2056 0.7500  5 In 2.77
S3 0.9043 0.0957 0.2500  2 Au 2.40
S4 0.0957 0.9043 0.7500  2 Au 2.40
Au1 0.0387 0.9613 0.2500  2 S 2.40
Au2 0.9613 0.0387 0.7500  2 S 2.40
In1 0.3203 0.6797 0.2500  7 S 2.74-2.77
In2 0.6797 0.3203 0.7500  7 S 2.74-2.77

Entry 4:
# TaSiCl2

A relaxed TaSiCl2 crystal (GGA-PBE, Alexandria).

## Properties
The value obtained for the uncorrected formation energy is 0.638 eV per atom. The total energy is -4.60 eV/atom. Its energy above the most stable polymorph in this dataset is 1120 meV/atom.

abc: 4.4650 4.0493 4.0493
angles: 90.00 90.00 90.00
With the nearest neighbours (Å) after each atom.
Fractional positions:
Cl1 0.0000 0.0000 0.0000  4 Cl 2.86, 4 Ta 3.01, 4 Si 3.01
Cl2 0.0000 0.5000 0.5000  4 Cl 2.86, 4 Ta 3.01, 4 Si 3.01
Si1 0.5000 0.5000 0.0000  4 Ta 2.86, 8 Cl 3.01
Ta1 0.5000 0.0000 0.5000  4 Si 2.86, 8 Cl 3.01

Entry 5:
# LiZnIr2

A relaxed LiZnIr2 crystal (GGA-PBE, Alexandria).

## Properties
The total energy is -5.34 eV/atom. The energy relative to the elements is -0.11 eV per atom.

abc: 2.7259 3.9241 5.2614
angles: 90.00 90.00 90.00
With the nearest neighbours (Å) after each atom.
Fractional positions:
Ir1 0.0000 0.0000 0.0191  2 Li 2.58-2.68, 6 Ir 2.65-2.73, 4 Zn 2.82
Ir2 0.5000 0.5000 0.2369  2 Zn 2.61-2.65, 6 Ir 2.65-2.73, 4 Li 2.79
Li1 0.0000 0.0000 0.5104  6 Ir 2.58-2.79, 4 Zn 2.66, 2 Li 2.73
Zn1 0.5000 0.5000 0.7336  6 Ir 2.61-2.82, 4 Li 2.66, 2 Zn 2.73

Entry 6:
# Ba2InPd2

A relaxed Ba2InPd2 crystal (GGA-PBE, Alexandria).

## Properties
The total energy is -3.69 eV/atom. The energy relative to the elements is -0.29 eV per atom.

abc: 3.9262 3.9262 10.5078
angles: 79.23 79.23 90.00
With the nearest neighbours (Å) after each atom.
Fractional positions:
Ba1 0.3762 0.3762 0.2476  4 Pd 3.22
Ba2 0.6238 0.6238 0.7524  4 Pd 3.22
Pd1 0.7500 0.2500 0.5000  4 Pd 2.78
Pd2 0.2500 0.7500 0.5000  4 Pd 2.78
In1 0.0000 0.0000 0.0000  8 Ba 3.74, 4 In 3.93